A plane-wave DFT calculation with GGA-PBEsol was carried out for a relaxed structure of LaNiW2.

Properties
Crystal system: cubic
DOS(E_F) in states/eV/cell: 22.63

a = 6.3811 Å, b = 6.3811 Å, c = 6.3811 Å
α = 90.00°, β = 90.00°, γ = 90.00°
Space group Fm-3m (No. 225)
One atom of each set of equivalent atoms:
La: 0.0000 0.0000 0.0000 (multiplicity 4)
Ni: 0.0000 0.0000 0.5000 (multiplicity 4)
W: 0.2500 0.2500 0.2500 (multiplicity 8)

=====

A plane-wave DFT calculation with GGA-PBEsol was carried out for a relaxed structure of ZnSe.

Properties
Crystal system: hexagonal
Raw formation energy in eV per atom: -0.6659

a = 3.9774 Å, b = 3.9774 Å, c = 6.5379 Å
α = 90.00°, β = 90.00°, γ = 120.00°
Space group P6_3mc (No. 186)
One atom of each set of equivalent atoms:
Zn: 0.3333 0.6667 0.0000 (multiplicity 2)
Se: 0.3333 0.6667 0.6261 (multiplicity 2)

=====

A plane-wave DFT calculation with GGA-PBEsol was carried out for a relaxed structure of Ta2BeP.

Properties
Crystal system: orthorhombic
DOS(E_F) in states/eV/cell: 3.25

a = 3.4376 Å, b = 3.4153 Å, c = 9.0479 Å
α = 90.00°, β = 90.00°, γ = 90.00°
Space group Amm2 (No. 38)
One atom of each set of equivalent atoms:
Ta: 0.0000 0.0000 0.0000 (multiplicity 2)
Ta: 0.5000 0.0000 0.2962 (multiplicity 2)
Be: 0.5000 0.0000 0.5722 (multiplicity 2)
P: 0.0000 0.0000 0.7134 (multiplicity 2)

=====

A plane-wave DFT calculation with GGA-PBEsol was carried out for a relaxed structure of BeCd2Pb.

Properties
Crystal system: tetragonal
DOS(E_F) in states/eV/cell: 1.34

a = 3.1244 Å, b = 3.1244 Å, c = 8.2609 Å
α = 90.00°, β = 90.00°, γ = 90.00°
Space group P4/mmm (No. 123)
One atom of each set of equivalent atoms:
Be: 0.0000 0.0000 0.0000 (multiplicity 1)
Cd: 0.5000 0.5000 0.1871 (multiplicity 2)
Pb: 0.0000 0.0000 0.5000 (multiplicity 1)

=====

A plane-wave DFT calculation with GGA-PBEsol was carried out for a relaxed structure of LiTbHg2.

Properties
Crystal system: cubic
DOS(E_F) in states/eV/cell: 9.43

a = 6.9927 Å, b = 6.9927 Å, c = 6.9927 Å
α = 90.00°, β = 90.00°, γ = 90.00°
Space group Fm-3m (No. 225)
One atom of each set of equivalent atoms:
Li: 0.0000 0.0000 0.0000 (multiplicity 4)
Tb: 0.0000 0.0000 0.5000 (multiplicity 4)
Hg: 0.2500 0.2500 0.2500 (multiplicity 8)

=====

A plane-wave DFT calculation with GGA-PBEsol was carried out for a relaxed structure of LiZr2Au.

Properties
Crystal system: tetragonal
DOS(E_F) in states/eV/cell: 2.23

a = 3.3570 Å, b = 3.3570 Å, c = 6.6468 Å
α = 90.00°, β = 90.00°, γ = 90.00°
Space group P4mm (No. 99)
One atom of each set of equivalent atoms:
Li: 0.0000 0.0000 0.0000 (multiplicity 1)
Zr: 0.0000 0.0000 0.5633 (multiplicity 1)
Zr: 0.5000 0.5000 0.2722 (multiplicity 1)
Au: 0.5000 0.5000 0.8115 (multiplicity 1)

=====

A plane-wave DFT calculation with GGA-PBEsol was carried out for a relaxed structure of Mg3Mn4O7.

Properties
Crystal system: orthorhombic
Raw formation energy in eV per atom: -1.7990
DOS(E_F) in states/eV/cell: 7.88

a = 3.0420 Å, b = 4.2913 Å, c = 21.4388 Å
α = 90.00°, β = 90.00°, γ = 90.00°
Space group Immm (No. 71)
One atom of each set of equivalent atoms:
Mg: 0.0000 0.0000 0.0000 (multiplicity 2)
Mg: 0.0000 0.0000 0.1417 (multiplicity 4)
Mn: 0.0000 0.0000 0.2852 (multiplicity 4)
Mn: 0.0000 0.0000 0.4287 (multiplicity 4)
O: 0.0000 0.5000 0.0000 (multiplicity 2)
O: 0.0000 0.5000 0.1411 (multiplicity 4)
O: 0.0000 0.5000 0.2912 (multiplicity 4)
O: 0.0000 0.5000 0.4301 (multiplicity 4)

=====

A plane-wave DFT calculation with GGA-PBEsol was carried out for a relaxed structure of P4Os.

Properties
Crystal system: monoclinic

a = 4.6761 Å, b = 4.6672 Å, c = 7.0933 Å
α = 90.00°, β = 99.53°, γ = 90.00°
Space group P2_1/c (No. 14)
One atom of each set of equivalent atoms:
P: 0.1230 0.1533 0.4118 (multiplicity 4)
P: 0.2855 0.6907 0.7517 (multiplicity 4)
Os: 0.5000 0.0000 0.0000 (multiplicity 2)

=====

no.,calculated volume (Å³ per atom),total energy (eV per atom)
1,16.239,-8.8576
2,22.393,-3.3820
3,13.278,-9.3935
4,20.160,-2.3066
5,21.370,-2.5581
6,18.726,-6.2932
7,9.995,-7.5805
8,15.267,-7.4920